Entry from Alexandria via LeMat-Bulk: a relaxed Rb2Ba2OsO6 crystal (GGA-PBE).

Lattice parameters (Å, degrees): 6.531 10.919 6.835 90.00 104.00 90.00
Space group C2/m (No. 12)
Symmetry-distinct sites (fractional):
Rb: 0.000 0.155 0.000 (multiplicity 4)
Ba: 0.000 0.338 0.500 (multiplicity 4)
Os: 0.000 0.000 0.500 (multiplicity 2)
O: 0.171 0.130 0.664 (multiplicity 8)
O: 0.198 0.000 0.322 (multiplicity 4)

Output
For the formation energy (no corrections), the calculation gives -1725.1 meV/atom.

***

Entry from Alexandria via LeMat-Bulk: a relaxed Sc4CoCl crystal (GGA-PBE).

Lattice parameters (Å, degrees): 8.206 8.206 8.206 90.00 90.00 90.00
Space group F-43m (No. 216)
Symmetry-distinct sites (fractional):
Sc: 0.123 0.123 0.377 (multiplicity 16)
Co: 0.250 0.250 0.750 (multiplicity 4)
Cl: 0.000 0.000 0.000 (multiplicity 4)

Output
For the formation energy (no corrections), the calculation gives 606.2 meV/atom.

***

Entry from Alexandria via LeMat-Bulk: a relaxed La2HgSe2O2 crystal (GGA-PBE).

Lattice parameters (Å, degrees): 4.1880 4.1880 11.7736 90.00 90.00 120.00
Space group P-3m1 (No. 164)
Symmetry-distinct sites (fractional):
La: 0.3333 0.6667 0.1274 (multiplicity 2)
Hg: 0.0000 0.0000 0.5000 (multiplicity 1)
Se: 0.0000 0.0000 0.2923 (multiplicity 2)
O: 0.3333 0.6667 0.9255 (multiplicity 2)

Output
For the formation energy (no corrections), the calculation gives -2160.7 meV/atom.

***

Entry from Alexandria via LeMat-Bulk: a relaxed BaLi5Hg3 crystal (GGA-PBE).

Lattice parameters (Å, degrees): 4.388 14.314 13.742 90.00 90.00 90.00
Space group Cmcm (No. 63)
Symmetry-distinct sites (fractional):
Ba: 0.000 0.158 0.250 (multiplicity 4)
Li: 0.000 0.000 0.000 (multiplicity 4)
Li: 0.000 0.198 0.554 (multiplicity 8)
Li: 0.000 0.433 0.143 (multiplicity 8)
Hg: 0.000 0.132 0.750 (multiplicity 4)
Hg: 0.000 0.388 0.552 (multiplicity 8)

Output
For the formation energy, the calculation gives -0.311 eV per atom.

***

Entry from Alexandria via LeMat-Bulk: a relaxed BaAg2W crystal (GGA-PBE).

Lattice parameters (Å, degrees): 3.101 3.101 9.121 90.00 90.00 90.00
Space group P4/mmm (No. 123)
Symmetry-distinct sites (fractional):
Ba: 0.000 0.000 0.000 (multiplicity 1)
Ag: 0.500 0.500 0.299 (multiplicity 2)
W: 0.000 0.000 0.500 (multiplicity 1)

Output
For the formation energy, the calculation gives 0.741 eV per atom. The value obtained for the energy above the most stable polymorph in this dataset is 0 meV/atom.

***

Entry from Alexandria via LeMat-Bulk: a relaxed HfTiMo14 crystal (GGA-PBE).

Lattice parameters (Å, degrees): 6.342 9.008 9.001 90.00 90.00 90.00
Space group Cmmm (No. 65)
Symmetry-distinct sites (fractional):
Hf: 0.000 0.000 0.000 (multiplicity 2)
Ti: 0.000 0.500 0.000 (multiplicity 2)
Mo: 0.000 0.000 0.500 (multiplicity 2)
Mo: 0.000 0.251 0.250 (multiplicity 8)
Mo: 0.000 0.500 0.500 (multiplicity 2)
Mo: 0.248 0.500 0.257 (multiplicity 8)
Mo: 0.250 0.250 0.000 (multiplicity 4)
Mo: 0.250 0.250 0.500 (multiplicity 4)

Output
For the formation energy, the calculation gives -0.082 eV per atom.

***

Entry from Alexandria via LeMat-Bulk: a relaxed Nb3AgS crystal (GGA-PBE).

Lattice parameters (Å, degrees): 4.936 4.936 4.936 90.00 90.00 90.00
Space group Pm-3m (No. 221)
Symmetry-distinct sites (fractional):
Nb: 0.000 0.000 0.500 (multiplicity 3)
Ag: 0.000 0.000 0.000 (multiplicity 1)
S: 0.500 0.500 0.500 (multiplicity 1)

Output
The value obtained for the energy above the most stable polymorph in this dataset is 1641 meV/atom. For the formation energy (no corrections), the calculation gives 1888.7 meV/atom.

***

Entry from Alexandria via LeMat-Bulk: a relaxed YZnSi2 crystal (GGA-PBE).

Lattice parameters (Å, degrees): 4.551 4.551 16.492 90.00 90.00 90.00
Space group I-42d (No. 122)
Symmetry-distinct sites (fractional):
Y: 0.000 0.000 0.000 (multiplicity 4)
Zn: 0.000 0.000 0.500 (multiplicity 4)
Si: 0.123 0.250 0.625 (multiplicity 8)

Output
For the formation energy (no corrections), the calculation gives -96.8 meV/atom.

***

Entry from Alexandria via LeMat-Bulk: a relaxed Th4SnPd2 crystal (GGA-PBE).

Lattice parameters (Å, degrees): 4.4503 4.4503 35.9968 90.00 90.00 120.00
Space group R-3m (No. 166, hexagonal axes)
Symmetry-distinct sites (fractional):
Th: 0.0000 0.0000 0.1135 (multiplicity 6)
Th: 0.0000 0.0000 0.3028 (multiplicity 6)
Sn: 0.0000 0.0000 0.5000 (multiplicity 3)
Pd: 0.0000 0.0000 0.4033 (multiplicity 6)

Output
For the formation energy, the calculation gives -0.368 eV per atom.

***

Entry from Alexandria via LeMat-Bulk: a relaxed Li2ThAlPd4 crystal (GGA-PBE).

Lattice parameters (Å, degrees): 4.3024 4.3024 25.0249 90.00 90.00 120.00
Space group R-3m (No. 166, hexagonal axes)
Symmetry-distinct sites (fractional):
Li: 0.0000 0.0000 0.2358 (multiplicity 6)
Th: 0.0000 0.0000 0.0000 (multiplicity 3)
Al: 0.0000 0.0000 0.5000 (multiplicity 3)
Pd: 0.0000 0.0000 0.1310 (multiplicity 6)
Pd: 0.0000 0.0000 0.3981 (multiplicity 6)

Output
For the formation energy, the calculation gives -0.701 eV per atom.

***

Entry from Alexandria via LeMat-Bulk: a relaxed MgCd2SnAu4 crystal (GGA-PBE).

Lattice parameters (Å, degrees): 4.7271 4.7271 24.9101 90.00 90.00 120.00
Space group R-3m (No. 166, hexagonal axes)
Symmetry-distinct sites (fractional):
Mg: 0.0000 0.0000 0.0000 (multiplicity 3)
Cd: 0.0000 0.0000 0.2526 (multiplicity 6)
Sn: 0.0000 0.0000 0.5000 (multiplicity 3)
Au: 0.0000 0.0000 0.1168 (multiplicity 6)
Au: 0.0000 0.0000 0.3689 (multiplicity 6)

Output
For the formation energy, the calculation gives -0.239 eV per atom.

***

Entry from Alexandria via LeMat-Bulk: a relaxed PaTc2P2Rh crystal (GGA-PBE).

Lattice parameters (Å, degrees): 3.968 6.984 6.911 90.00 90.00 90.00
Space group Pmc2_1 (No. 26)
Symmetry-distinct sites (fractional):
Pa: 0.000 0.108 0.000 (multiplicity 2)
Tc: 0.000 0.319 0.391 (multiplicity 2)
Tc: 0.500 0.413 0.091 (multiplicity 2)
P: 0.000 0.411 0.708 (multiplicity 2)
P: 0.500 0.150 0.309 (multiplicity 2)
Rh: 0.500 0.190 0.694 (multiplicity 2)

Output
For the formation energy, the calculation gives -0.748 eV per atom.